Record 1
The following is a DFT calculation (PBE) of Li2SbIr after structural relaxation.

Properties
- symmetry = No. 123
- formation energy from raw total energies (kJ/mol of atoms) = -0.1

abc: 2.9022 2.9022 8.1819
angles: 90.00 90.00 90.00
Sites, in units of the cell vectors:
1 Li 0.0000 0.0000 0.2110
2 Li 0.0000 0.0000 0.7890
3 Sb 0.5000 0.5000 0.5000
4 Ir 0.5000 0.5000 0.0000

Record 2
The following is a DFT calculation (PBE) of LiSb2Ir after structural relaxation.

Properties
- symmetry = No. 6
- formation energy from raw total energies (kJ/mol of atoms) = -11.7
- offset from the most stable computed form (meV per atom) = 98

abc: 4.0124 4.9010 5.0503
angles: 90.00 113.31 90.00
Sites, in units of the cell vectors:
1 Li 0.0000 0.0000 0.0000
2 Sb 0.2881 0.0000 0.5744
3 Sb 0.5055 0.5000 0.0101
4 Ir 0.1769 0.5000 0.3546

Record 3
The following is a DFT calculation (PBE) of Li2SbIr after structural relaxation.

Properties
- symmetry = No. 8
- formation energy from raw total energies (kJ/mol of atoms) = -29.9

abc: 4.8387 4.8387 4.6910
angles: 107.51 107.51 39.08
Sites, in units of the cell vectors:
1 Li 0.0000 0.0000 0.0000
2 Li 0.2448 0.2448 0.8283
3 Sb 0.4811 0.4811 0.4749
4 Ir 0.7423 0.7423 0.3336

Record 4
The following is a DFT calculation (PBE) of LiSb2Ir after structural relaxation.

Properties
- symmetry = No. 119
- formation energy from raw total energies (kJ/mol of atoms) = -1.1
- offset from the most stable computed form (meV per atom) = 208

abc: 5.5150 5.5150 5.5150
angles: 137.13 137.13 62.23
Sites, in units of the cell vectors:
1 Li 0.0000 0.0000 0.0000
2 Sb 0.2500 0.7500 0.5000
3 Sb 0.5000 0.5000 0.0000
4 Ir 0.7500 0.2500 0.5000

Record 5
The following is a DFT calculation (PBE) of Li2SbIr after structural relaxation.

Properties
- symmetry = No. 166
- formation energy from raw total energies (kJ/mol of atoms) = 4.4

abc: 9.1569 9.1569 9.1569
angles: 18.59 18.59 18.59
Sites, in units of the cell vectors:
1 Li 0.2418 0.2418 0.2418
2 Li 0.7582 0.7582 0.7582
3 Sb 0.0000 0.0000 0.0000
4 Ir 0.5000 0.5000 0.5000

Record 6
The following is a DFT calculation (PBE) of LiSb2Ir after structural relaxation.

Properties
- symmetry = No. 8
- formation energy from raw total energies (kJ/mol of atoms) = -10.8
- offset from the most stable computed form (meV per atom) = 107

abc: 4.7965 4.7965 5.2781
angles: 97.37 97.37 43.15
Sites, in units of the cell vectors:
1 Li 0.0000 0.0000 0.0000
2 Sb 0.2568 0.2568 0.8467
3 Sb 0.4784 0.4784 0.4179
4 Ir 0.7549 0.7549 0.2342

Record 7
The following is a DFT calculation (PBE) of Li2SbIr after structural relaxation.

Properties
- symmetry = No. 123
- formation energy from raw total energies (kJ/mol of atoms) = -29.0

abc: 3.8796 3.8796 4.2277
angles: 90.00 90.00 90.00
Sites, in units of the cell vectors:
1 Li 0.0000 0.5000 0.0000
2 Li 0.5000 0.0000 0.0000
3 Sb 0.0000 0.0000 0.5000
4 Ir 0.5000 0.5000 0.5000

Record 8
The following is a DFT calculation (PBE) of LiSb12Ir4 after structural relaxation.

Properties
- symmetry = No. 204
- formation energy from raw total energies (kJ/mol of atoms) = -31.2

abc: 8.1669 8.1669 8.1669
angles: 109.47 109.47 109.47
Sites, in units of the cell vectors:
1 Li 0.0000 0.0000 0.0000
2 Sb 0.1540 0.3383 0.4923
3 Sb 0.1540 0.6617 0.8157
4 Sb 0.1843 0.8460 0.3383
5 Sb 0.3383 0.1843 0.8460
6 Sb 0.3383 0.4923 0.1540
7 Sb 0.4923 0.1540 0.3383
8 Sb 0.5077 0.8460 0.6617
9 Sb 0.6617 0.5077 0.8460
10 Sb 0.6617 0.8157 0.1540
11 Sb 0.8157 0.1540 0.6617
12 Sb 0.8460 0.3383 0.1843
13 Sb 0.8460 0.6617 0.5077
14 Ir 0.0000 0.0000 0.5000
15 Ir 0.0000 0.5000 0.0000
16 Ir 0.5000 0.0000 0.0000
17 Ir 0.5000 0.5000 0.5000

Record 9
The following is a DFT calculation (PBE) of Li2SbIr after structural relaxation.

Properties
- symmetry = No. 25
- formation energy from raw total energies (kJ/mol of atoms) = -26.2

abc: 3.2170 4.2690 4.7240
angles: 90.00 90.00 90.00
Sites, in units of the cell vectors:
1 Li 0.0000 0.0000 0.0000
2 Li 0.5000 0.5000 0.1052
3 Sb 0.0000 0.5000 0.6059
4 Ir 0.5000 0.0000 0.4733

Record 10
The following is a DFT calculation (PBE) of LiSbIr2 after structural relaxation.

Properties
- symmetry = No. 6
- formation energy from raw total energies (kJ/mol of atoms) = 0.1

abc: 2.9233 4.4462 5.2093
angles: 90.00 105.93 90.00
Sites, in units of the cell vectors:
1 Li 0.0000 0.0000 0.0000
2 Sb 0.6088 0.5000 0.2231
3 Ir 0.3434 0.5000 0.7007
4 Ir 0.7461 0.0000 0.5044

Record 11
The following is a DFT calculation (PBE) of LiSbIr2 after structural relaxation.

Properties
- symmetry = No. 119
- formation energy from raw total energies (kJ/mol of atoms) = -7.6

abc: 4.9272 4.9272 4.9272
angles: 133.61 133.61 67.70
Sites, in units of the cell vectors:
1 Li 0.0000 0.0000 0.0000
2 Sb 0.7500 0.2500 0.5000
3 Ir 0.2500 0.7500 0.5000
4 Ir 0.5000 0.5000 0.0000

Record 12
The following is a DFT calculation (PBE) of LiSb2Ir after structural relaxation.

Properties
- symmetry = No. 225
- formation energy from raw total energies (kJ/mol of atoms) = -17.2
- offset from the most stable computed form (meV per atom) = 41

abc: 4.7541 4.7541 4.7541
angles: 60.00 60.00 60.00
Sites, in units of the cell vectors:
1 Li 0.0000 0.0000 0.0000
2 Sb 0.2500 0.2500 0.2500
3 Sb 0.7500 0.7500 0.7500
4 Ir 0.5000 0.5000 0.5000

Record 13
The following is a DFT calculation (PBE) of Li2SbIr after structural relaxation.

Properties
- symmetry = No. 65
- formation energy from raw total energies (kJ/mol of atoms) = -15.7

abc: 4.9158 4.9158 2.9943
angles: 90.00 90.00 115.25
Sites, in units of the cell vectors:
1 Li 0.0000 0.5000 0.0000
2 Li 0.5000 0.0000 0.0000
3 Sb 0.0000 0.0000 0.5000
4 Ir 0.5000 0.5000 0.5000

Record 14
The following is a DFT calculation (PBE) of Li2SbIr after structural relaxation.

Properties
- symmetry = No. 65
- formation energy from raw total energies (kJ/mol of atoms) = 2.6

abc: 2.9257 2.9257 9.1011
angles: 90.00 90.00 117.66
Sites, in units of the cell vectors:
1 Li 0.0000 0.0000 0.2244
2 Li 0.0000 0.0000 0.7756
3 Sb 0.5000 0.5000 0.5000
4 Ir 0.5000 0.5000 0.0000

Record 15
The following is a DFT calculation (PBE) of LiSbIr2 after structural relaxation.

Properties
- symmetry = No. 25
- formation energy from raw total energies (kJ/mol of atoms) = -2.6

abc: 2.9116 4.0361 5.3422
angles: 90.00 90.00 90.00
Sites, in units of the cell vectors:
1 Li 0.0000 0.0000 0.0000
2 Sb 0.5000 0.5000 0.2811
3 Ir 0.0000 0.0000 0.5260
4 Ir 0.5000 0.5000 0.7858

Record 16
The following is a DFT calculation (PBE) of LiSb2Ir after structural relaxation.

Properties
- symmetry = No. 12
- formation energy from raw total energies (kJ/mol of atoms) = -5.6
- offset from the most stable computed form (meV per atom) = 161

abc: 4.5140 4.5140 3.7274
angles: 90.18 90.18 90.41
Sites, in units of the cell vectors:
1 Li 0.0000 0.0000 0.0000
2 Sb 0.0000 0.5000 0.5000
3 Sb 0.5000 0.0000 0.5000
4 Ir 0.5000 0.5000 0.0000

Record 17
The following is a DFT calculation (PBE) of LiSb2Ir after structural relaxation.

Properties
- symmetry = No. 122
- formation energy from raw total energies (kJ/mol of atoms) = 8.4
- offset from the most stable computed form (meV per atom) = 306

abc: 6.9263 6.9263 6.9263
angles: 121.45 121.45 87.50
Sites, in units of the cell vectors:
1 Li 0.0000 0.0000 0.0000
2 Li 0.7500 0.2500 0.5000
3 Sb 0.1667 0.6250 0.0417
4 Sb 0.3750 0.4167 0.5417
5 Sb 0.5833 0.1250 0.9583
6 Sb 0.8750 0.8333 0.4583
7 Ir 0.2500 0.7500 0.5000
8 Ir 0.5000 0.5000 0.0000

Record 18
The following is a DFT calculation (PBE) of LiSb2Ir after structural relaxation.

Properties
- symmetry = No. 10
- formation energy from raw total energies (kJ/mol of atoms) = -13.1
- offset from the most stable computed form (meV per atom) = 83

abc: 3.2660 3.2509 7.6120
angles: 90.00 90.14 90.00
Sites, in units of the cell vectors:
1 Li 0.0000 0.0000 0.0000
2 Sb 0.5001 0.5000 0.2789
3 Sb 0.4999 0.5000 0.7211
4 Ir 0.0000 0.0000 0.5000

Record 19
The following is a DFT calculation (PBE) of LiSb2Ir after structural relaxation.

Properties
- symmetry = No. 216
- formation energy from raw total energies (kJ/mol of atoms) = 16.9
- offset from the most stable computed form (meV per atom) = 394

abc: 4.7834 4.7834 4.7834
angles: 60.00 60.00 60.00
Sites, in units of the cell vectors:
1 Li 0.0000 0.0000 0.0000
2 Sb 0.2500 0.2500 0.2500
3 Sb 0.5000 0.5000 0.5000
4 Ir 0.7500 0.7500 0.7500

Record 20
The following is a DFT calculation (PBE) of LiSbIr3 after structural relaxation.

Properties
- symmetry = No. 221
- formation energy from raw total energies (kJ/mol of atoms) = 71.2
- offset from the most stable computed form (meV per atom) = 0

abc: 4.2373 4.2373 4.2373
angles: 90.00 90.00 90.00
Sites, in units of the cell vectors:
1 Li 0.0000 0.0000 0.0000
2 Sb 0.5000 0.5000 0.5000
3 Ir 0.0000 0.0000 0.5000
4 Ir 0.0000 0.5000 0.0000
5 Ir 0.5000 0.0000 0.0000

Record 21
The following is a DFT calculation (PBE) of LiSb2Ir after structural relaxation.

Properties
- symmetry = No. 44
- formation energy from raw total energies (kJ/mol of atoms) = -18.6
- offset from the most stable computed form (meV per atom) = 26

abc: 8.1801 8.1801 8.1801
angles: 157.87 155.20 33.48
Sites, in units of the cell vectors:
1 Li 0.0000 0.0000 0.0000
2 Sb 0.1582 0.6582 0.5000
3 Sb 0.3791 0.3791 0.0000
4 Ir 0.7486 0.2486 0.5000

Record 22
The following is a DFT calculation (PBE) of LiSbIr2 after structural relaxation.

Properties
- symmetry = No. 166
- formation energy from raw total energies (kJ/mol of atoms) = 28.8

abc: 8.4241 8.4241 8.4241
angles: 20.93 20.93 20.93
Sites, in units of the cell vectors:
1 Li 0.0000 0.0000 0.0000
2 Sb 0.5000 0.5000 0.5000
3 Ir 0.2487 0.2487 0.2487
4 Ir 0.7513 0.7513 0.7513

Record 23
The following is a DFT calculation (PBE) of LiSbIr2 after structural relaxation.

Properties
- symmetry = No. 99
- formation energy from raw total energies (kJ/mol of atoms) = 12.8

abc: 2.9208 2.9208 8.1771
angles: 90.00 90.00 90.00
Sites, in units of the cell vectors:
1 Li 0.0000 0.0000 0.0000
2 Sb 0.5000 0.5000 0.3238
3 Ir 0.0000 0.0000 0.5697
4 Ir 0.5000 0.5000 0.7817

Record 24
The following is a DFT calculation (PBE) of Li2SbIr after structural relaxation.

Properties
- symmetry = No. 139
- formation energy from raw total energies (kJ/mol of atoms) = -28.9

abc: 5.0533 5.0533 5.0533
angles: 134.96 134.96 65.60
Sites, in units of the cell vectors:
1 Li 0.2500 0.7500 0.5000
2 Li 0.7500 0.2500 0.5000
3 Sb 0.0000 0.0000 0.0000
4 Ir 0.5000 0.5000 0.0000

Record 25
The following is a DFT calculation (PBE) of LiSbIr2 after structural relaxation.

Properties
- symmetry = No. 8
- formation energy from raw total energies (kJ/mol of atoms) = -9.0

abc: 5.1264 5.1264 4.7497
angles: 113.88 113.88 33.95
Sites, in units of the cell vectors:
1 Li 0.0000 0.0000 0.0000
2 Sb 0.2268 0.2268 0.5979
3 Ir 0.4823 0.4823 0.5096
4 Ir 0.7514 0.7514 0.0886

Record 26
The following is a DFT calculation (PBE) of LiSnSbIr after structural relaxation.

Properties
- symmetry = No. 216
- formation energy from raw total energies (kJ/mol of atoms) = -20.8

abc: 4.7152 4.7152 4.7152
angles: 60.00 60.00 60.00
Sites, in units of the cell vectors:
1 Li 0.0000 0.0000 0.0000
2 Sn 0.7500 0.7500 0.7500
3 Sb 0.2500 0.2500 0.2500
4 Ir 0.5000 0.5000 0.5000

Record 27
The following is a DFT calculation (PBE) of LiSbTe2Ir after structural relaxation.

Properties
- symmetry = No. 123
- formation energy from raw total energies (kJ/mol of atoms) = 22.1
- offset from the most stable computed form (meV per atom) = 0

abc: 5.5626 5.5626 4.9401
angles: 90.00 90.00 90.00
Sites, in units of the cell vectors:
1 Li 0.0000 0.0000 0.0000
2 Sb 0.5000 0.5000 0.0000
3 Te 0.0000 0.5000 0.5000
4 Te 0.5000 0.0000 0.5000
5 Ir 0.5000 0.5000 0.5000

Record 28
The following is a DFT calculation (PBE) of LiThSbIr after structural relaxation.

Properties
- symmetry = No. 216
- formation energy from raw total energies (kJ/mol of atoms) = -52.0

abc: 4.8861 4.8861 4.8861
angles: 60.00 60.00 60.00
Sites, in units of the cell vectors:
1 Li 0.0000 0.0000 0.0000
2 Th 0.7500 0.7500 0.7500
3 Sb 0.2500 0.2500 0.2500
4 Ir 0.5000 0.5000 0.5000

Record 29
The following is a DFT calculation (PBE) of LiTiSbIr after structural relaxation.

Properties
- symmetry = No. 216
- formation energy from raw total energies (kJ/mol of atoms) = -44.9

abc: 4.4911 4.4911 4.4911
angles: 60.00 60.00 60.00
Sites, in units of the cell vectors:
1 Li 0.0000 0.0000 0.0000
2 Ti 0.7500 0.7500 0.7500
3 Sb 0.2500 0.2500 0.2500
4 Ir 0.5000 0.5000 0.5000

Record 30
The following is a DFT calculation (PBE) of Li2TlSbIr after structural relaxation.

Properties
- symmetry = No. 123
- formation energy from raw total energies (kJ/mol of atoms) = -4.9

abc: 5.0163 5.0163 4.9312
angles: 90.00 90.00 90.00
Sites, in units of the cell vectors:
1 Li 0.0000 0.5000 0.0000
2 Li 0.5000 0.0000 0.0000
3 Tl 0.0000 0.0000 0.5000
4 Sb 0.5000 0.5000 0.5000
5 Ir 0.5000 0.5000 0.0000

One value per record, in order, for E_tot: -16.82, -19.50, -18.05, -19.07, -16.63, -19.47, -18.01, -92.32, -17.90, -23.75, -24.07, -19.73, -17.46, -16.70, -23.87, -19.25, -18.67, -19.56, -18.32, -28.93, -19.79, -22.57, -23.23, -18.01, -24.13, -19.76, -20.03, -24.47, -24.65, -19.43 eV per formula unit.
One value per record, in order, for total moment: 0.000, 0.000, 0.000, 0.000, 0.115, 0.000, 0.000, 0.000, 0.000, 0.000, 0.000, 0.000, 0.000, 0.000, 0.000, 0.000, 0.000, 0.000, 0.000, 0.000, 0.000, 0.000, 0.000, 0.000, 0.000, 0.000, 0.000, 0.000, 0.253, 0.000 μB/atom.
One value per record, in order, for N(E_F): 1.155, 0.347, 0.198, 0.357, 1.056, 0.503, 0.393, 0.272, 0.244, 0.781, 0.890, 0.194, 0.729, 0.859, 0.548, 0.380, 0.525, 0.212, 0.118, 0.675, 0.208, 1.012, 1.290, 0.426, 0.313, 0.864, 1.103, 1.149, 0.719, 0.381 states/eV per atom.